Record 1
## TlCdHg2 (PBE)

Data for a relaxed structure of TlCdHg2.

Structure (POSCAR):
```
TlCdHg2
1.0
-1.911 2.709 5.244
1.911 -2.709 5.244
1.911 2.709 -5.244
Tl Cd Hg
1 1 2
Direct
0.000 0.000 0.000
0.500 0.500 0.000
0.262 0.762 0.500
0.738 0.238 0.500
```

The value obtained for the energy above the most stable polymorph in this dataset is 21 meV/atom. Its total energy is -0.03517 hartree per atom. The value obtained for the formation energy is 14 meV/atom.

---

Record 2
## TlCd12Hg4 (PBE)

Data for a relaxed structure of TlCd12Hg4.

Structure (POSCAR):
```
TlCd12Hg4
1.0
-4.981 4.981 4.981
4.981 -4.981 4.981
4.981 4.981 -4.981
Tl Cd Hg
1 12 4
Direct
0.000 0.000 0.000
0.147 0.500 0.353
0.147 0.795 0.647
0.205 0.353 0.853
0.353 0.147 0.500
0.353 0.853 0.205
0.500 0.353 0.147
0.500 0.647 0.853
0.647 0.147 0.795
0.647 0.853 0.500
0.795 0.647 0.147
0.853 0.205 0.353
0.853 0.500 0.647
0.000 0.000 0.500
0.000 0.500 0.000
0.500 0.000 0.000
0.500 0.500 0.500
```

Its total energy is -0.02683 hartree per atom. The value obtained for the formation energy is 126 meV/atom.

---

Record 3
## TlCdHg3 (PBE)

Data for a relaxed structure of TlCdHg3.

Structure (POSCAR):
```
TlCdHg3
1.0
8.676 -3.114 0.000
8.676 3.114 0.000
-1.680 0.000 5.133
Tl Cd Hg
2 2 6
Direct
0.061 0.061 0.310
0.939 0.939 0.690
0.357 0.357 0.107
0.643 0.643 0.893
0.163 0.163 0.912
0.262 0.262 0.511
0.453 0.453 0.703
0.547 0.547 0.297
0.738 0.738 0.489
0.837 0.837 0.088
```

The value obtained for the energy above the most stable polymorph in this dataset is 13 meV/atom. Its total energy is -0.03001 hartree per atom. The value obtained for the formation energy is 21 meV/atom.

---

Record 4
## Tl8Cd2Hg (PBE)

Data for a relaxed structure of Tl8Cd2Hg.

Structure (POSCAR):
```
Tl8Cd2Hg
1.0
6.658 -5.006 0.000
6.658 5.006 0.000
-1.329 0.000 5.354
Tl Cd Hg
8 2 1
Direct
0.111 0.111 0.806
0.148 0.693 0.709
0.257 0.257 0.392
0.307 0.852 0.291
0.693 0.148 0.709
0.743 0.743 0.608
0.852 0.307 0.291
0.889 0.889 0.194
0.374 0.374 0.968
0.626 0.626 0.032
0.500 0.500 0.500
```

The value obtained for the energy above the most stable polymorph in this dataset is 54 meV/atom. Its total energy is -0.06681 hartree per atom. The value obtained for the formation energy is 97 meV/atom.

---

Record 5
## TlCd5Hg (PBE)

Data for a relaxed structure of TlCd5Hg.

Structure (POSCAR):
```
TlCd5Hg
1.0
4.558 -6.123 0.000
4.558 6.123 0.000
-3.570 0.000 6.531
Tl Cd Hg
2 10 2
Direct
0.191 0.809 0.750
0.809 0.191 0.250
0.073 0.927 0.250
0.210 0.335 0.644
0.312 0.568 0.409
0.335 0.210 0.144
0.432 0.688 0.091
0.568 0.312 0.909
0.665 0.790 0.856
0.688 0.432 0.591
0.790 0.665 0.356
0.927 0.073 0.750
0.000 0.500 0.000
0.500 0.000 0.500
```

The value obtained for the energy above the most stable polymorph in this dataset is 0 meV/atom. Its total energy is -0.03579 hartree per atom. The value obtained for the formation energy is 61 meV/atom.

---

Record 6
## TlCd4Hg (PBE)

Data for a relaxed structure of TlCd4Hg.

Structure (POSCAR):
```
TlCd4Hg
1.0
8.748 0.000 0.000
0.000 4.505 0.000
0.000 0.000 7.811
Tl Cd Hg
2 8 2
Direct
0.250 0.000 0.149
0.750 0.000 0.851
0.000 0.000 0.500
0.023 0.500 0.812
0.250 0.500 0.465
0.477 0.500 0.812
0.500 0.000 0.500
0.523 0.500 0.188
0.750 0.500 0.535
0.977 0.500 0.188
0.250 0.000 0.758
0.750 0.000 0.242
```

The value obtained for the energy above the most stable polymorph in this dataset is 0 meV/atom. Its total energy is -0.03760 hartree per atom. The value obtained for the formation energy is 32 meV/atom.

---

Record 7
## Tl2Cd3Hg (PBE)

Data for a relaxed structure of Tl2Cd3Hg.

Structure (POSCAR):
```
Tl2Cd3Hg
1.0
5.199 -3.018 0.000
5.199 3.018 0.000
-3.600 0.000 5.120
Tl Cd Hg
2 3 1
Direct
0.126 0.126 0.377
0.874 0.874 0.623
0.000 0.500 0.000
0.500 0.000 0.000
0.500 0.500 0.000
0.500 0.500 0.500
```

The value obtained for the energy above the most stable polymorph in this dataset is 0 meV/atom. Its total energy is -0.04720 hartree per atom. The value obtained for the formation energy is 12 meV/atom.

---

Record 8
## Tl2CdHg8 (PBE)

Data for a relaxed structure of Tl2CdHg8.

Structure (POSCAR):
```
Tl2CdHg8
1.0
4.975 0.000 0.000
0.000 4.975 0.000
0.000 0.000 12.557
Tl Cd Hg
2 1 8
Direct
0.000 0.000 0.179
0.000 0.000 0.821
0.000 0.000 0.500
0.000 0.500 0.000
0.000 0.500 0.362
0.000 0.500 0.638
0.500 0.000 0.000
0.500 0.000 0.362
0.500 0.000 0.638
0.500 0.500 0.183
0.500 0.500 0.817
```

Its total energy is -0.02713 hartree per atom. The value obtained for the formation energy is -5 meV/atom.